A plane-wave DFT calculation with PBEsol was carried out for a relaxed structure of AgPbCl.

abc: 3.405 3.405 11.585
angles: 90.00 90.00 90.00
Space group I4mm (No. 107)
Unique sites:
1 Ag 0.000 0.000 0.000 (multiplicity 2)
2 Pb 0.000 0.000 0.338 (multiplicity 2)
3 Cl 0.000 0.000 0.633 (multiplicity 2)

calculated density = 8.669 g cm⁻³
Fermi-level density of states = 1.52 states/eV/cell
energy relative to the elements, uncorrected = -0.68 eV per formula unit

---

A plane-wave DFT calculation with PBEsol was carried out for a relaxed structure of Ag2PbCl.

abc: 7.017 7.017 7.017
angles: 90.00 90.00 90.00
Space group F-43m (No. 216)
Unique sites:
1 Ag 0.000 0.000 0.000 (multiplicity 4)
2 Ag 0.250 0.250 0.250 (multiplicity 4)
3 Pb 0.000 0.000 0.500 (multiplicity 4)
4 Cl 0.250 0.250 0.750 (multiplicity 4)

calculated density = 8.813 g cm⁻³
Fermi-level density of states = 5.86 states/eV/cell
energy relative to the elements, uncorrected = 0.45 eV per formula unit

---

A plane-wave DFT calculation with PBEsol was carried out for a relaxed structure of AgPbCl.

abc: 4.8244 4.8244 3.3253
angles: 90.00 90.00 120.00
Space group P3m1 (No. 156)
Unique sites:
1 Ag 0.0000 0.0000 0.0000 (multiplicity 1)
2 Pb 0.6667 0.3333 0.4955 (multiplicity 1)
3 Cl 0.3333 0.6667 0.9914 (multiplicity 1)

calculated density = 8.684 g cm⁻³
Fermi-level density of states = 0.55 states/eV/cell
energy relative to the elements, uncorrected = -0.29 eV per formula unit

---

A plane-wave DFT calculation with PBEsol was carried out for a relaxed structure of Ag4PbCl.

abc: 7.812 7.812 7.812
angles: 90.00 90.00 90.00
Space group F-43m (No. 216)
Unique sites:
1 Ag 0.125 0.125 0.125 (multiplicity 16)
2 Pb 0.000 0.000 0.500 (multiplicity 4)
3 Cl 0.250 0.250 0.750 (multiplicity 4)

calculated density = 9.392 g cm⁻³
Fermi-level density of states = 12.46 states/eV/cell
energy relative to the elements, uncorrected = 0.40 eV per formula unit

---

A plane-wave DFT calculation with PBEsol was carried out for a relaxed structure of Ag2PbCl.

abc: 4.409 4.916 7.608
angles: 90.00 90.00 90.00
Space group Cmmm (No. 65)
Unique sites:
1 Ag 0.000 0.000 0.232 (multiplicity 4)
2 Pb 0.000 0.500 0.500 (multiplicity 2)
3 Cl 0.000 0.500 0.000 (multiplicity 2)

calculated density = 9.233 g cm⁻³
Fermi-level density of states = 2.49 states/eV/cell
energy relative to the elements, uncorrected = -0.09 eV per formula unit

---

A plane-wave DFT calculation with PBEsol was carried out for a relaxed structure of Ag2PdCl4.

abc: 9.809 8.031 7.935
angles: 90.00 90.00 90.00
Space group Cmce (No. 64)
Unique sites:
1 Ag 0.250 0.219 0.250 (multiplicity 8)
2 Pd 0.000 0.000 0.000 (multiplicity 4)
3 Cl 0.000 0.197 0.791 (multiplicity 8)
4 Cl 0.233 0.000 0.000 (multiplicity 8)

calculated density = 4.930 g cm⁻³
energy relative to the elements, uncorrected = -2.93 eV per formula unit

---

A plane-wave DFT calculation with PBEsol was carried out for a relaxed structure of Ag2PdRhCl.

abc: 4.615 4.615 4.391
angles: 90.00 90.00 90.00
Space group P4/mmm (No. 123)
Unique sites:
1 Ag 0.000 0.500 0.000 (multiplicity 2)
2 Pd 0.000 0.000 0.500 (multiplicity 1)
3 Rh 0.500 0.500 0.500 (multiplicity 1)
4 Cl 0.000 0.000 0.000 (multiplicity 1)

calculated density = 8.178 g cm⁻³
Fermi-level density of states = 5.05 states/eV/cell
energy relative to the elements, uncorrected = 5.07 eV per formula unit

---

A plane-wave DFT calculation with PBEsol was carried out for a relaxed structure of AgPd2RhCl.

abc: 4.842 4.842 4.329
angles: 90.00 90.00 90.00
Space group P4/mmm (No. 123)
Unique sites:
1 Ag 0.000 0.000 0.000 (multiplicity 1)
2 Pd 0.000 0.500 0.500 (multiplicity 2)
3 Rh 0.500 0.500 0.500 (multiplicity 1)
4 Cl 0.500 0.500 0.000 (multiplicity 1)

calculated density = 7.511 g cm⁻³
Fermi-level density of states = 7.48 states/eV/cell
energy relative to the elements, uncorrected = 4.31 eV per formula unit

---

A plane-wave DFT calculation with PBEsol was carried out for a relaxed structure of AgPdSCl2.

abc: 4.756 4.756 4.869
angles: 90.00 90.00 90.00
Space group P4/mmm (No. 123)
Unique sites:
1 Ag 0.000 0.000 0.000 (multiplicity 1)
2 Pd 0.500 0.500 0.500 (multiplicity 1)
3 S 0.000 0.000 0.500 (multiplicity 1)
4 Cl 0.000 0.500 0.000 (multiplicity 2)

calculated density = 4.783 g cm⁻³
Fermi-level density of states = 6.93 states/eV/cell
energy relative to the elements, uncorrected = 2.90 eV per formula unit

---

A plane-wave DFT calculation with PBEsol was carried out for a relaxed structure of AgPdWCl2.

abc: 4.601 4.601 5.201
angles: 90.00 90.00 90.00
Space group P4/mmm (No. 123)
Unique sites:
1 Ag 0.000 0.000 0.000 (multiplicity 1)
2 Pd 0.000 0.000 0.500 (multiplicity 1)
3 W 0.500 0.500 0.000 (multiplicity 1)
4 Cl 0.000 0.500 0.500 (multiplicity 2)

calculated density = 7.074 g cm⁻³
Fermi-level density of states = 6.31 states/eV/cell
energy relative to the elements, uncorrected = 6.56 eV per formula unit

---

A plane-wave DFT calculation with PBEsol was carried out for a relaxed structure of AgPt2Cl.

abc: 2.811 2.811 8.000
angles: 90.00 90.00 90.00
Space group P4/mmm (No. 123)
Unique sites:
1 Ag 0.000 0.000 0.000 (multiplicity 1)
2 Pt 0.500 0.500 0.251 (multiplicity 2)
3 Cl 0.000 0.000 0.500 (multiplicity 1)

calculated density = 14.016 g cm⁻³
Fermi-level density of states = 4.26 states/eV/cell
energy relative to the elements, uncorrected = 1.72 eV per formula unit

---

A plane-wave DFT calculation with PBEsol was carried out for a relaxed structure of Ag2PtCl.

abc: 3.0152 3.0152 25.3057
angles: 90.00 90.00 120.00
Space group R-3m (No. 166, hexagonal axes)
Unique sites:
1 Ag 0.0000 0.0000 0.2480 (multiplicity 6)
2 Pt 0.0000 0.0000 0.0000 (multiplicity 3)
3 Cl 0.0000 0.0000 0.5000 (multiplicity 3)

calculated density = 11.158 g cm⁻³
Fermi-level density of states = 5.61 states/eV/cell
energy relative to the elements, uncorrected = 0.14 eV per formula unit

---

Among the records above, which one has the highest calculated density? AgPt2Cl